# 1
Entry from the Alexandria database: a relaxed BaTm2Al3Zn6 crystal (PBE).

The structure in extended XYZ format:
```
12
Lattice="4.197 0.000 0.000 0.000 4.197 0.000 0.000 0.000 14.233" Properties=species:S:1:pos:R:3 pbc="T T T"
Ba 0.000 0.000 0.000
Tm 0.000 0.000 5.403
Tm 0.000 0.000 8.830
Al 2.098 2.098 1.538
Al 2.098 2.098 7.116
Al 2.098 2.098 12.695
Zn 0.000 2.098 3.038
Zn 0.000 2.098 11.195
Zn 2.098 0.000 3.038
Zn 2.098 0.000 11.195
Zn 2.098 2.098 4.555
Zn 2.098 2.098 9.678
```

Values from the calculation:
Its total DFT energy (no corrections) is -2.68 eV/atom. For the calculated formation energy, the calculation gives -200 meV/atom. As for the crystal system: tetragonal.

# 2
Entry from the Alexandria database: a relaxed Ba2AlV crystal (PBE).

The structure in extended XYZ format:
```
8
Lattice="-4.591 4.591 3.234 4.591 -4.591 3.234 4.591 4.591 -3.234" Properties=species:S:1:pos:R:3 pbc="T T T"
Ba 2.296 2.089 -0.809
Ba 2.502 -2.296 4.043
Ba 2.296 2.502 2.426
Ba 2.089 6.887 0.809
Al 4.591 0.000 1.617
Al 0.000 0.000 3.234
V 0.000 0.000 0.000
V 0.000 4.591 1.617
```

Values from the calculation:
Its total DFT energy (no corrections) is -3.41 eV/atom. For the calculated formation energy, the calculation gives 766 meV/atom. As for the crystal system: tetragonal.

# 3
Entry from the Alexandria database: a relaxed BaAl2V4 crystal (PBE).

The structure in extended XYZ format:
```
7
Lattice="-2.499 2.499 6.634 2.499 -2.499 6.634 2.499 2.499 -6.634" Properties=species:S:1:pos:R:3 pbc="T T T"
Ba 0.000 0.000 0.000
Al 0.000 0.000 5.319
Al 0.000 0.000 7.949
V 2.499 0.000 0.000
V 0.000 0.000 2.736
V 0.000 2.499 0.000
V 0.000 0.000 10.532
```

Values from the calculation:
Its total DFT energy (no corrections) is -4.85 eV/atom. For the calculated formation energy, the calculation gives 1705 meV/atom. As for the crystal system: tetragonal.

# 4
Entry from the Alexandria database: a relaxed BaY2AlV crystal (PBE).

The structure in extended XYZ format:
```
5
Lattice="5.701 0.000 0.000 0.000 5.701 0.000 0.000 0.000 5.095" Properties=species:S:1:pos:R:3 pbc="T T T"
Ba 0.000 0.000 0.000
Y 0.000 2.851 2.547
Y 2.851 0.000 2.547
Al 2.851 2.851 2.547
V 2.851 2.851 0.000
```

Values from the calculation:
Its total DFT energy (no corrections) is -5.05 eV/atom. For the calculated formation energy, the calculation gives 488 meV/atom. As for the crystal system: tetragonal.

# 5
Entry from the Alexandria database: a relaxed BaAl2W crystal (PBE).

The structure in extended XYZ format:
```
4
Lattice="3.546 0.000 0.000 0.000 3.546 0.000 0.000 0.000 7.826" Properties=species:S:1:pos:R:3 pbc="T T T"
Ba 0.000 0.000 0.000
Al 0.000 0.000 3.315
Al 1.773 1.773 5.104
W 1.773 1.773 2.563
```

Values from the calculation:
Its total DFT energy (no corrections) is -5.07 eV/atom. The calculation puts the offset from the most stable computed form at 270 meV/atom. For the calculated formation energy, the calculation gives 518 meV/atom. As for the crystal system: tetragonal.

# 6
Entry from the Alexandria database: a relaxed BaAl3W crystal (PBE).

The structure in extended XYZ format:
```
5
Lattice="5.033 0.000 0.000 0.000 5.033 0.000 0.000 0.000 5.033" Properties=species:S:1:pos:R:3 pbc="T T T"
Ba 0.000 0.000 0.000
Al 0.000 2.517 2.517
Al 2.517 0.000 2.517
Al 2.517 2.517 0.000
W 2.517 2.517 2.517
```

Values from the calculation:
Its total DFT energy (no corrections) is -5.18 eV/atom. The calculation puts the offset from the most stable computed form at 0 meV/atom. For the calculated formation energy, the calculation gives 37 meV/atom. As for the crystal system: cubic.